# LiY2Mg3, optimized geometry, DFT PBE-GGA
# Energy (eV/cell): -20.09
# Total moment (μB/atom): 0.000
data_LiY2Mg3
_chemical_formula_sum 'Li1 Y2 Mg3'
_symmetry_space_group_name_H-M 'P 1'
_symmetry_Int_Tables_number 1
_cell_length_a 3.6621
_cell_length_b 3.6621
_cell_length_c 11.4021
_cell_angle_alpha 90.00
_cell_angle_beta 90.00
_cell_angle_gamma 90.00
loop_
_symmetry_equiv_pos_as_xyz
'x,y,z'
loop_
_atom_site_label
_atom_site_type_symbol
_atom_site_fract_x
_atom_site_fract_y
_atom_site_fract_z
Li1 Li 0.0000 0.0000 0.0000
Y1 Y 0.0000 0.0000 0.3309
Y2 Y 0.0000 0.0000 0.6691
Mg1 Mg 0.5000 0.5000 0.1441
Mg2 Mg 0.5000 0.5000 0.5000
Mg3 Mg 0.5000 0.5000 0.8559